(A)
PC2 (PBEsol, relaxed); spin magnetization = 0.00 μB/f.u.; SG = No. 162
1.0
4.8487 0.0000 0.0000
-2.4244 4.1991 0.0000
0.0000 0.0000 3.8596
P C
3 6
direct
0.0000 0.0000 0.0000 P
0.3333 0.6667 0.5000 P
0.6667 0.3333 0.5000 P
0.0000 0.3067 0.7105 C
0.0000 0.6933 0.2895 C
0.3067 0.0000 0.7105 C
0.3067 0.3067 0.2895 C
0.6933 0.0000 0.2895 C
0.6933 0.6933 0.7105 C

---

(B)
PC2 (PBEsol, relaxed); spin magnetization = 0.00 μB/f.u.; SG = No. 194
1.0
2.8006 0.0000 0.0000
-1.4003 2.4254 0.0000
0.0000 0.0000 7.3982
P C
2 4
direct
0.3333 0.6667 0.2500 P
0.6667 0.3333 0.7500 P
0.0000 0.0000 0.0935 C
0.0000 0.0000 0.4065 C
0.0000 0.0000 0.5935 C
0.0000 0.0000 0.9065 C

---

(C)
PC2 (PBEsol, relaxed); spin magnetization = 0.00 μB/f.u.; SG = No. 164
1.0
2.8434 0.0000 0.0000
-1.4217 2.4624 0.0000
0.0000 0.0000 3.4333
P C
1 2
direct
0.0000 0.0000 0.0000 P
0.3333 0.6667 0.3029 C
0.6667 0.3333 0.6971 C

---

Stability summary: most stable (B), least stable (C).